MgPaSi | PBE | relaxed

**Space group**: F-43m
**Final energy**: -4.867 eV/atom
**Magnetic moment**: 0.94 μB/cell

Cell lengths 4.8120, 4.8120, 4.8120 Å; angles 60.00, 60.00, 60.00 degrees
Closest atoms and distances in Å follow each position.
Sites, in units of the cell vectors:
Mg  0.2500  0.2500  0.2500  4 Pa 2.95
Pa  0.0000  0.0000  0.0000  4 Si 2.95, 4 Mg 2.95
Si  0.7500  0.7500  0.7500  4 Pa 2.95

KSmH2S2O9 | PBE | relaxed

**Space group**: P2_1/c
**Final energy**: -6.222 eV/atom
**Magnetic moment**: 0.02 μB/cell

Cell lengths 9.9423, 8.1476, 10.1044 Å; angles 90.00, 118.09, 90.00 degrees
Closest atoms and distances in Å follow each position.
Sites, in units of the cell vectors:
O  0.4706  0.2413  0.4448  1 S 1.48
O  0.6007  0.5895  0.8883  1 S 1.47
O  0.5294  0.7413  0.0552  1 S 1.48
O  0.5294  0.7587  0.5552  1 S 1.48
O  0.9363  0.2869  0.6818  1 S 1.47
O  0.8254  0.4833  0.7854  1 S 1.50
O  0.6986  0.0390  0.9727  2 H 0.99
O  0.6660  0.1096  0.6618  1 S 1.49
O  0.9363  0.2131  0.1818  1 S 1.47
O  0.3993  0.0895  0.6117  1 S 1.47
O  0.3014  0.5390  0.5273  2 H 0.99
O  0.9462  0.2581  0.4250  1 S 1.49
O  0.6007  0.9105  0.3883  1 S 1.47
O  0.0538  0.7581  0.0750  1 S 1.49
O  0.0637  0.7131  0.3182  1 S 1.47
O  0.3340  0.8904  0.3382  1 S 1.49
O  0.0637  0.7869  0.8182  1 S 1.47
O  0.6986  0.4610  0.4727  2 H 0.99
O  0.4657  0.8411  0.8039  1 S 1.50
O  0.3014  0.9610  0.0273  2 H 0.99
O  0.0538  0.7419  0.5750  1 S 1.49
O  0.1033  0.4487  0.8915  1 S 1.47
O  0.3340  0.6096  0.8382  1 S 1.49
O  0.4657  0.6589  0.3039  1 S 1.50
O  0.5343  0.3411  0.6961  1 S 1.50
O  0.9462  0.2419  0.9250  1 S 1.49
O  0.1746  0.9833  0.7146  1 S 1.50
O  0.8254  0.0167  0.2854  1 S 1.50
O  0.1033  0.0513  0.3915  1 S 1.47
O  0.4706  0.2587  0.9448  1 S 1.48
O  0.8967  0.5513  0.1085  1 S 1.47
O  0.6660  0.3904  0.1618  1 S 1.49
O  0.1746  0.5167  0.2146  1 S 1.50
O  0.3993  0.4105  0.1117  1 S 1.47
O  0.5343  0.1589  0.1961  1 S 1.50
O  0.8967  0.9487  0.6085  1 S 1.47
H  0.2717  0.5112  0.4216  1 O 0.99
H  0.7283  0.4888  0.5784  1 O 0.99
H  0.5964  0.5108  0.4108  1 O 0.99
H  0.5964  0.9892  0.9108  1 O 0.99
H  0.7283  0.0112  0.0784  1 O 0.99
H  0.4036  0.4892  0.5892  1 O 0.99
H  0.4036  0.0108  0.0892  1 O 0.99
H  0.2717  0.9888  0.9216  1 O 0.99
S  0.5150  0.3069  0.1011  4 O 1.47-1.50
S  0.4850  0.6931  0.8989  4 O 1.47-1.50
S  0.9539  0.3657  0.8202  4 O 1.47-1.50
S  0.0461  0.6343  0.1798  4 O 1.47-1.50
S  0.4850  0.8069  0.3989  4 O 1.47-1.50
S  0.0461  0.8657  0.6798  4 O 1.47-1.50
S  0.9539  0.1343  0.3202  4 O 1.47-1.50
S  0.5150  0.1931  0.6011  4 O 1.47-1.50
K  0.7898  0.6786  0.3162  8 O 2.73-2.99, 1 H 2.87
K  0.2102  0.1786  0.1838  8 O 2.73-2.99, 1 H 2.87
K  0.7898  0.8214  0.8162  8 O 2.73-2.99, 1 H 2.87
K  0.2102  0.3214  0.6838  8 O 2.73-2.99, 1 H 2.87
Sm  0.7331  0.1620  0.4585  9 O 2.36-2.63
Sm  0.2669  0.6620  0.0415  9 O 2.36-2.63
Sm  0.2669  0.8380  0.5415  9 O 2.36-2.63
Sm  0.7331  0.3380  0.9585  9 O 2.36-2.63

PrTe | PBE | relaxed

**Space group**: Pm-3m
**Final energy**: -5.307 eV/atom
**Magnetic moment**: 0.39 μB/cell

Cell lengths 3.8982, 3.8982, 3.8982 Å; angles 90.00, 90.00, 90.00 degrees
Closest atoms and distances in Å follow each position.
Sites, in units of the cell vectors:
Te  0.5000  0.5000  0.5000  8 Pr 3.38
Pr  0.0000  0.0000  0.0000  8 Te 3.38

CuH6C9INCl | PBE | relaxed

**Space group**: P-1
**Final energy**: -6.272 eV/atom

Cell lengths 4.1191, 10.3543, 11.4661 Å; angles 80.89, 89.49, 81.72 degrees
Closest atoms and distances in Å follow each position.
Sites, in units of the cell vectors:
C  0.8173  0.5693  0.1351  1 H 1.09
C  0.3465  0.9083  0.1231  1 H 1.09
C  0.9764  0.5192  0.7866  1 H 1.09
C  0.6535  0.0917  0.8769  1 H 1.09
C  0.4422  0.9323  0.2338  1 H 1.09
C  0.9826  0.6350  0.3532  1 H 1.09
C  0.0174  0.3650  0.6468  1 H 1.09
C  0.8925  0.4858  0.6770  1 H 1.09
C  0.1075  0.5142  0.3230  1 H 1.09
C  0.0236  0.4808  0.2134  1 H 1.09
C  0.4705  0.7903  0.0874  2 C 1.38-1.42
C  0.3142  0.3058  0.8368  3 C 1.41-1.44
C  0.5295  0.2097  0.9126  2 C 1.38-1.42
C  0.7688  0.7278  0.2751  1 N 1.38, 2 C 1.41-1.44
C  0.5578  0.0677  0.7662  1 H 1.09
C  0.2312  0.2722  0.7249  1 N 1.38, 2 C 1.41-1.44
C  0.6858  0.6942  0.1632  3 C 1.41-1.44
C  0.1827  0.4307  0.8649  1 H 1.09
H  0.1774  0.9832  0.0680  1 C 1.09
H  0.8767  0.6156  0.8087  1 C 1.09
H  0.1233  0.3844  0.1913  1 C 1.09
H  0.2500  0.4561  0.9493  1 C 1.09
H  0.7500  0.5439  0.0507  1 C 1.09
H  0.3461  0.0255  0.2632  1 C 1.09
H  0.6539  0.9745  0.7368  1 C 1.09
H  0.2747  0.4434  0.3832  1 C 1.09
H  0.7253  0.5566  0.6168  1 C 1.09
H  0.8226  0.0168  0.9320  1 C 1.09
H  0.9532  0.3376  0.5627  1 C 1.09
H  0.0468  0.6624  0.4373  1 C 1.09
I  0.7584  0.1692  0.3972  3 Cu 2.62-2.76
I  0.2416  0.8308  0.6028  3 Cu 2.62-2.76
Cl  0.6366  0.2387  0.0505  1 C 1.73
Cl  0.3634  0.7613  0.9495  1 C 1.73
Cu  0.7195  0.9039  0.4661  1 N 2.02
Cu  0.2805  0.0961  0.5339  1 N 2.02
N  0.6477  0.8476  0.3082  2 C 1.33-1.38
N  0.3523  0.1524  0.6918  2 C 1.33-1.38

TmGaTc | PBE | relaxed

**Space group**: F-43m
**Final energy**: -5.115 eV/atom
**Magnetic moment**: 0.94 μB/cell

Cell lengths 4.5882, 4.5882, 4.5882 Å; angles 60.00, 60.00, 60.00 degrees
Closest atoms and distances in Å follow each position.
Sites, in units of the cell vectors:
Tm  0.0000  0.0000  0.0000  4 Ga 2.81, 4 Tc 2.81
Ga  0.2500  0.2500  0.2500  4 Tm 2.81
Tc  0.7500  0.7500  0.7500  4 Tm 2.81

Tb2YCu4Si4 | PBE | relaxed

**Space group**: Immm
**Final energy**: -5.391 eV/atom
**Magnetic moment**: 0.00 μB/cell

Cell lengths 7.8637, 7.8637, 7.8637 Å; angles 149.50, 130.84, 58.96 degrees
Closest atoms and distances in Å follow each position.
Sites, in units of the cell vectors:
Si  0.6844  0.5000  0.1844  1 Si 2.41, 2 Cu 2.45
Si  0.3156  0.5000  0.8156  1 Si 2.41, 2 Cu 2.45
Si  0.2164  0.2164  0.0000  6 Cu 2.50-2.56
Si  0.7836  0.7836  0.0000  6 Cu 2.50-2.56
Cu  0.9784  0.6687  0.3097  4 Si 2.45-2.56, 1 Cu 2.49
Cu  0.0216  0.3313  0.6903  4 Si 2.45-2.56, 1 Cu 2.49
Cu  0.6410  0.3313  0.3097  4 Si 2.45-2.56, 1 Cu 2.49
Cu  0.3590  0.6687  0.6903  4 Si 2.45-2.56, 1 Cu 2.49
Tb  0.6295  0.1295  0.5000  6 Cu 2.94-3.03, 6 Si 2.95-2.98
Tb  0.3705  0.8705  0.5000  6 Cu 2.94-3.03, 6 Si 2.95-2.98
Y  0.0000  0.0000  0.0000  6 Si 2.92-2.96

SmReOs | PBE | relaxed

**Space group**: R-3m
**Final energy**: -9.086 eV/atom
**Magnetic moment**: 0.05 μB/cell

Cell lengths 10.0666, 10.0666, 10.0666 Å; angles 24.05, 24.05, 24.05 degrees
Closest atoms and distances in Å follow each position.
Sites, in units of the cell vectors:
Os  0.7011  0.7011  0.7011  4 Re 2.47-2.50
Os  0.2989  0.2989  0.2989  4 Re 2.47-2.50
Re  0.6158  0.6158  0.6158  4 Os 2.47-2.50
Re  0.3842  0.3842  0.3842  4 Os 2.47-2.50
Sm  0.1125  0.1125  0.1125  3 Re 3.02, 3 Os 3.33
Sm  0.8875  0.8875  0.8875  3 Re 3.02, 3 Os 3.33

AcHfPt | PBE | relaxed

**Space group**: P4/nmm
**Final energy**: -7.521 eV/atom
**Magnetic moment**: 0.00 μB/cell

Cell lengths 4.7330, 4.7330, 7.1785 Å; angles 90.00, 90.00, 90.00 degrees
Closest atoms and distances in Å follow each position.
Sites, in units of the cell vectors:
Ac  0.5000  0.0000  0.8754  1 Pt 3.17
Ac  0.0000  0.5000  0.1246  1 Pt 3.17
Hf  0.5000  0.5000  0.5000  4 Pt 2.71
Hf  0.0000  0.0000  0.5000  4 Pt 2.71
Pt  0.5000  0.0000  0.3170  4 Hf 2.71
Pt  0.0000  0.5000  0.6830  4 Hf 2.71

YEr2Cu4Si2Sn2 | PBE | relaxed

**Space group**: Immm
**Final energy**: -5.074 eV/atom
**Magnetic moment**: 0.00 μB/cell

Cell lengths 8.1615, 8.1615, 8.1615 Å; angles 149.56, 132.08, 57.84 degrees
Closest atoms and distances in Å follow each position.
Sites, in units of the cell vectors:
Cu  0.3442  0.6538  0.6904  1 Si 2.36, 1 Cu 2.52
Cu  0.0366  0.3462  0.6904  1 Si 2.36, 1 Cu 2.52
Cu  0.6558  0.3462  0.3096  1 Si 2.36, 1 Cu 2.52
Cu  0.9634  0.6538  0.3096  1 Si 2.36, 1 Cu 2.52
Y  0.0000  0.0000  0.0000  4 Si 3.01, 2 Sn 3.13, 8 Cu 3.32
Sn  0.7809  0.7809  0.0000  6 Cu 2.66-2.74
Sn  0.2191  0.2191  0.0000  6 Cu 2.66-2.74
Si  0.6812  0.5000  0.1812  2 Cu 2.36, 1 Si 2.40
Si  0.3188  0.5000  0.8188  2 Cu 2.36, 1 Si 2.40
Er  0.3766  0.8766  0.5000  4 Cu 3.00, 4 Si 3.02, 2 Sn 3.11
Er  0.6234  0.1234  0.5000  4 Cu 3.00, 4 Si 3.02, 2 Sn 3.11

TbHo2Tl3 | PBE | relaxed

**Space group**: P4/mmm
**Final energy**: -3.809 eV/atom
**Magnetic moment**: 0.04 μB/cell

Cell lengths 3.6386, 3.6386, 12.1948 Å; angles 90.00, 90.00, 90.00 degrees
Closest atoms and distances in Å follow each position.
Sites, in units of the cell vectors:
Ho  0.5000  0.5000  0.8341  8 Tl 3.27, 4 Ho 3.64
Ho  0.5000  0.5000  0.1659  8 Tl 3.27, 4 Ho 3.64
Tb  0.5000  0.5000  0.5000  8 Tl 3.29, 4 Tb 3.64
Tl  0.0000  0.0000  0.6685  4 Ho 3.27, 4 Tb 3.29, 4 Tl 3.64
Tl  0.0000  0.0000  0.3315  4 Ho 3.27, 4 Tb 3.29, 4 Tl 3.64
Tl  0.0000  0.0000  0.0000  8 Ho 3.27, 4 Tl 3.64

GdNb2As3 | PBE | relaxed

**Space group**: P-3m1
**Final energy**: -7.152 eV/atom
**Magnetic moment**: 0.06 μB/cell

Cell lengths 3.9915, 3.9915, 8.9135 Å; angles 90.00, 90.00, 120.00 degrees
Closest atoms and distances in Å follow each position.
Sites, in units of the cell vectors:
As  0.0000  0.0000  0.0000  6 Nb 2.59
As  0.3333  0.6667  0.3057  3 Nb 2.77, 3 Gd 2.88
As  0.6667  0.3333  0.6943  3 Nb 2.77, 3 Gd 2.88
Nb  0.6667  0.3333  0.1333  6 As 2.59-2.77
Nb  0.3333  0.6667  0.8667  6 As 2.59-2.77
Gd  0.0000  0.0000  0.5000  6 As 2.88

SnBi2Mo | PBE | relaxed

**Space group**: F-43m
**Final energy**: -4.991 eV/atom
**Magnetic moment**: 0.83 μB/cell

Cell lengths 5.1513, 5.1513, 5.1513 Å; angles 60.00, 60.00, 60.00 degrees
Closest atoms and distances in Å follow each position.
Sites, in units of the cell vectors:
Mo  0.5000  0.5000  0.5000  4 Sn 3.15, 4 Bi 3.15
Sn  0.7500  0.7500  0.7500  4 Bi 3.15, 4 Mo 3.15
Bi  0.0000  0.0000  0.0000  4 Sn 3.15, 4 Bi 3.15
Bi  0.2500  0.2500  0.2500  4 Mo 3.15, 4 Bi 3.15